Below is crystalline Nb4Ge5 at its relaxed geometry, with properties calculated at the PBE level.

a = 6.283 Å, b = 6.283 Å, c = 6.283 Å
α = 99.78°, β = 99.78°, γ = 131.33°
Atoms (fractional coordinates):
1 Nb 0.092 0.689 0.781
2 Nb 0.311 0.092 0.403
3 Nb 0.689 0.908 0.597
4 Nb 0.908 0.311 0.219
5 Ge 0.000 0.000 0.000
6 Ge 0.240 0.406 0.647
7 Ge 0.406 0.760 0.166
8 Ge 0.594 0.240 0.834
9 Ge 0.760 0.594 0.353

## Properties
For the calculated formation energy, the calculation gives -0.873 eV/f.u. Its calculated volume is 170 Å³/cell. As for the symmetry: I4/m.



Below is crystalline Nb4Ge3 at its relaxed geometry, with properties calculated at the PBE level.

a = 10.250 Å, b = 10.250 Å, c = 10.250 Å
α = 160.47°, β = 160.47°, γ = 27.76°
Atoms (fractional coordinates):
1 Nb 0.070 0.070 0.000
2 Nb 0.353 0.353 0.000
3 Nb 0.647 0.647 0.000
4 Nb 0.930 0.930 0.000
5 Ge 0.210 0.210 0.000
6 Ge 0.500 0.500 0.000
7 Ge 0.790 0.790 0.000

## Properties
For the calculated formation energy, the calculation gives -2.102 eV/f.u. Its calculated volume is 120 Å³/cell. As for the symmetry: I4/mmm.



Below is crystalline NbGe at its relaxed geometry, with properties calculated at the PBE level.

a = 7.933 Å, b = 7.933 Å, c = 2.981 Å
α = 90.00°, β = 90.00°, γ = 145.99°
Atoms (fractional coordinates):
1 Nb 0.000 0.000 0.000
2 Nb 0.331 0.669 0.500
3 Nb 0.669 0.331 0.500
4 Ge 0.180 0.820 0.000
5 Ge 0.500 0.500 0.500
6 Ge 0.820 0.180 0.000

## Properties
For the calculated formation energy, the calculation gives -0.306 eV/f.u. Its calculated volume is 105 Å³/cell. As for the symmetry: Cmmm.



Below is crystalline NbGe2 at its relaxed geometry, with properties calculated at the PBE level.

a = 5.523 Å, b = 7.185 Å, c = 2.846 Å
α = 90.00°, β = 90.00°, γ = 90.00°
Atoms (fractional coordinates):
1 Nb 0.000 0.000 0.000
2 Nb 0.500 0.500 0.500
3 Ge 0.070 0.323 0.500
4 Ge 0.430 0.823 0.000
5 Ge 0.570 0.177 0.000
6 Ge 0.930 0.677 0.500

## Properties
For the calculated formation energy, the calculation gives 0.595 eV/f.u. Its calculated volume is 113 Å³/cell. As for the symmetry: Pnnm.



Below is crystalline Nb3Ge at its relaxed geometry, with properties calculated at the PBE level.

a = 5.333 Å, b = 7.807 Å, c = 7.807 Å
α = 117.48°, β = 90.00°, γ = 90.00°
Atoms (fractional coordinates):
1 Nb 0.000 0.000 0.000
2 Nb 0.000 0.579 0.816
3 Nb 0.000 0.816 0.579
4 Nb 0.249 0.124 0.440
5 Nb 0.249 0.440 0.124
6 Nb 0.500 0.036 0.780
7 Nb 0.500 0.396 0.785
8 Nb 0.500 0.529 0.529
9 Nb 0.500 0.780 0.036
10 Nb 0.500 0.785 0.396
11 Nb 0.751 0.124 0.440
12 Nb 0.751 0.440 0.124
13 Ge 0.000 0.206 0.785
14 Ge 0.000 0.423 0.423
15 Ge 0.000 0.785 0.206
16 Ge 0.500 0.155 0.155

## Properties
For the calculated formation energy, the calculation gives -0.542 eV/f.u. Its calculated volume is 288 Å³/cell. As for the symmetry: Amm2.



Below is crystalline Nb10Ge7 at its relaxed geometry, with properties calculated at the PBE level.

a = 13.600 Å, b = 13.600 Å, c = 5.427 Å
α = 90.00°, β = 90.00°, γ = 120.00°
Atoms (fractional coordinates):
1 Nb 0.000 0.332 0.000
2 Nb 0.000 0.336 0.500
3 Nb 0.000 0.664 0.500
4 Nb 0.000 0.668 0.000
5 Nb 0.088 0.175 0.729
6 Nb 0.088 0.912 0.729
7 Nb 0.159 0.579 0.770
8 Nb 0.175 0.088 0.271
9 Nb 0.245 0.491 0.228
10 Nb 0.245 0.755 0.228
11 Nb 0.332 0.000 0.000
12 Nb 0.332 0.332 0.000
13 Nb 0.336 0.000 0.500
14 Nb 0.336 0.336 0.500
15 Nb 0.421 0.579 0.770
16 Nb 0.421 0.841 0.770
17 Nb 0.491 0.245 0.772
18 Nb 0.509 0.755 0.228
19 Nb 0.579 0.159 0.230
20 Nb 0.579 0.421 0.230
21 Nb 0.664 0.000 0.500
22 Nb 0.664 0.664 0.500
23 Nb 0.668 0.000 0.000
24 Nb 0.668 0.668 0.000
25 Nb 0.755 0.245 0.772
26 Nb 0.755 0.509 0.772
27 Nb 0.825 0.912 0.729
28 Nb 0.841 0.421 0.230
29 Nb 0.912 0.088 0.271
30 Nb 0.912 0.825 0.271
31 Ge 0.000 0.000 0.000
32 Ge 0.073 0.536 0.247
33 Ge 0.130 0.260 0.249
34 Ge 0.130 0.870 0.249
35 Ge 0.203 0.406 0.742
36 Ge 0.203 0.797 0.742
37 Ge 0.260 0.130 0.751
38 Ge 0.333 0.667 0.497
39 Ge 0.406 0.203 0.258
40 Ge 0.464 0.536 0.247
41 Ge 0.464 0.927 0.247
42 Ge 0.536 0.073 0.753
43 Ge 0.536 0.464 0.753
44 Ge 0.594 0.797 0.742
45 Ge 0.667 0.333 0.503
46 Ge 0.740 0.870 0.249
47 Ge 0.797 0.203 0.258
48 Ge 0.797 0.594 0.258
49 Ge 0.870 0.130 0.751
50 Ge 0.870 0.740 0.751
51 Ge 0.927 0.464 0.753

## Properties
For the calculated formation energy, the calculation gives -8.137 eV/f.u. Its calculated volume is 869 Å³/cell. As for the symmetry: P-3m1.